Record 1
# PBE-GGA KNa2Tl3, optimized geometry
data_KNa2Tl3
_chemical_formula_sum 'K1 Na2 Tl3'
_space_group_name_H-M_alt 'P 1'
_space_group_IT_number 1
_space_group_name_Hall 'P 1'
_cell_length_a 6.743
_cell_length_b 6.743
_cell_length_c 5.283
_cell_angle_alpha 90.00
_cell_angle_beta 90.00
_cell_angle_gamma 120.00
loop_
_atom_site_label
_atom_site_type_symbol
_atom_site_fract_x
_atom_site_fract_y
_atom_site_fract_z
K1 K 0.000 0.000 0.000
Na1 Na 0.333 0.667 0.984
Na2 Na 0.667 0.333 0.984
Tl1 Tl 0.000 0.500 0.485
Tl2 Tl 0.500 0.000 0.485
Tl3 Tl 0.500 0.500 0.485
# Energy above the lowest structure with this stoichiometry (meV per atom): 0
# Magnetic moment (μB per cell): 0.0
# Formation enthalpy at 0 K (meV/atom): -59
# Electronic total energy (eV per atom): -1.86

Record 2
# PBE-GGA LaCrSn3, optimized geometry
data_LaCrSn3
_chemical_formula_sum 'La1 Cr1 Sn3'
_space_group_name_H-M_alt 'P 1'
_space_group_IT_number 1
_space_group_name_Hall 'P 1'
_cell_length_a 5.116
_cell_length_b 5.116
_cell_length_c 5.116
_cell_angle_alpha 90.00
_cell_angle_beta 90.00
_cell_angle_gamma 90.00
loop_
_atom_site_label
_atom_site_type_symbol
_atom_site_fract_x
_atom_site_fract_y
_atom_site_fract_z
La1 La 0.000 0.000 0.000
Cr1 Cr 0.500 0.500 0.500
Sn1 Sn 0.000 0.500 0.500
Sn2 Sn 0.500 0.000 0.500
Sn3 Sn 0.500 0.500 0.000
# Magnetic moment (μB per cell): 2.2
# Formation enthalpy at 0 K (meV/atom): -72
# Electronic total energy (eV per atom): -5.38

Record 3
# PBE-GGA KSc2Au, optimized geometry
data_KSc2Au
_chemical_formula_sum 'K2 Sc4 Au2'
_space_group_name_H-M_alt 'P 1'
_space_group_IT_number 1
_space_group_name_Hall 'P 1'
_cell_length_a 6.385
_cell_length_b 11.085
_cell_length_c 3.237
_cell_angle_alpha 90.00
_cell_angle_beta 117.55
_cell_angle_gamma 90.00
loop_
_atom_site_label
_atom_site_type_symbol
_atom_site_fract_x
_atom_site_fract_y
_atom_site_fract_z
K1 K 0.000 0.000 0.000
K2 K 0.500 0.500 0.000
Sc1 Sc 0.250 0.250 0.500
Sc2 Sc 0.250 0.750 0.500
Sc3 Sc 0.750 0.250 0.500
Sc4 Sc 0.750 0.750 0.500
Au1 Au 0.000 0.500 0.000
Au2 Au 0.500 0.000 0.000
# Energy above the lowest structure with this stoichiometry (meV per atom): 393
# Magnetic moment (μB per cell): 0.0
# Formation enthalpy at 0 K (meV/atom): 283
# Electronic total energy (eV per atom): -3.98

Record 4
# PBE-GGA RbDyPbI6, optimized geometry
data_RbDyPbI6
_chemical_formula_sum 'Rb2 Dy2 Pb2 I12'
_space_group_name_H-M_alt 'P 1'
_space_group_IT_number 1
_space_group_name_Hall 'P 1'
_cell_length_a 8.167
_cell_length_b 8.167
_cell_length_c 16.064
_cell_angle_alpha 90.00
_cell_angle_beta 90.00
_cell_angle_gamma 120.00
loop_
_atom_site_label
_atom_site_type_symbol
_atom_site_fract_x
_atom_site_fract_y
_atom_site_fract_z
Rb1 Rb 0.000 0.000 0.000
Rb2 Rb 0.000 0.000 0.500
Dy1 Dy 0.333 0.667 0.250
Dy2 Dy 0.667 0.333 0.750
Pb1 Pb 0.333 0.667 0.750
Pb2 Pb 0.667 0.333 0.250
I1 I 0.019 0.380 0.138
I2 I 0.019 0.639 0.362
I3 I 0.361 0.380 0.362
I4 I 0.361 0.981 0.138
I5 I 0.380 0.019 0.638
I6 I 0.380 0.361 0.862
I7 I 0.620 0.639 0.138
I8 I 0.620 0.981 0.362
I9 I 0.639 0.019 0.862
I10 I 0.639 0.620 0.638
I11 I 0.981 0.361 0.638
I12 I 0.981 0.620 0.862
# Magnetic moment (μB per cell): 0.0
# Electronic total energy (eV per atom): -3.24

Record 5
# PBE-GGA Ba2SbBr, optimized geometry
data_Ba2SbBr
_chemical_formula_sum 'Ba8 Sb4 Br4'
_space_group_name_H-M_alt 'P 1'
_space_group_IT_number 1
_space_group_name_Hall 'P 1'
_cell_length_a 8.341
_cell_length_b 8.341
_cell_length_c 8.341
_cell_angle_alpha 90.00
_cell_angle_beta 90.00
_cell_angle_gamma 90.00
loop_
_atom_site_label
_atom_site_type_symbol
_atom_site_fract_x
_atom_site_fract_y
_atom_site_fract_z
Ba1 Ba 0.000 0.000 0.000
Ba2 Ba 0.000 0.500 0.500
Ba3 Ba 0.250 0.250 0.250
Ba4 Ba 0.250 0.750 0.750
Ba5 Ba 0.500 0.000 0.500
Ba6 Ba 0.500 0.500 0.000
Ba7 Ba 0.750 0.250 0.750
Ba8 Ba 0.750 0.750 0.250
Sb1 Sb 0.000 0.000 0.500
Sb2 Sb 0.000 0.500 0.000
Sb3 Sb 0.500 0.000 0.000
Sb4 Sb 0.500 0.500 0.500
Br1 Br 0.250 0.250 0.750
Br2 Br 0.250 0.750 0.250
Br3 Br 0.750 0.250 0.250
Br4 Br 0.750 0.750 0.750
# Magnetic moment (μB per cell): 0.0
# Electronic total energy (eV per atom): -3.19

Record 6
# PBE-GGA Fe2CoRuN, optimized geometry
data_Fe2CoRuN
_chemical_formula_sum 'Fe2 Co1 Ru1 N1'
_space_group_name_H-M_alt 'P 1'
_space_group_IT_number 1
_space_group_name_Hall 'P 1'
_cell_length_a 3.831
_cell_length_b 3.831
_cell_length_c 3.743
_cell_angle_alpha 90.00
_cell_angle_beta 90.00
_cell_angle_gamma 90.00
loop_
_atom_site_label
_atom_site_type_symbol
_atom_site_fract_x
_atom_site_fract_y
_atom_site_fract_z
Fe1 Fe 0.000 0.500 0.000
Fe2 Fe 0.500 0.000 0.000
Co1 Co 0.000 0.000 0.500
Ru1 Ru 0.500 0.500 0.500
N1 N 0.000 0.000 0.000
# Energy above the lowest structure with this stoichiometry (meV per atom): 0
# Magnetic moment (μB per cell): 6.8
# Electronic total energy (eV per atom): -8.23

Record 7
# PBE-GGA SrLiCd2, optimized geometry
data_SrLiCd2
_chemical_formula_sum 'Sr3 Li3 Cd6'
_space_group_name_H-M_alt 'P 1'
_space_group_IT_number 1
_space_group_name_Hall 'P 1'
_cell_length_a 4.861
_cell_length_b 4.861
_cell_length_c 16.762
_cell_angle_alpha 90.00
_cell_angle_beta 90.00
_cell_angle_gamma 120.00
loop_
_atom_site_label
_atom_site_type_symbol
_atom_site_fract_x
_atom_site_fract_y
_atom_site_fract_z
Sr1 Sr 0.000 0.000 0.000
Sr2 Sr 0.333 0.667 0.667
Sr3 Sr 0.667 0.333 0.333
Li1 Li 0.000 0.000 0.500
Li2 Li 0.333 0.667 0.167
Li3 Li 0.667 0.333 0.833
Cd1 Cd 0.000 0.000 0.204
Cd2 Cd 0.000 0.000 0.796
Cd3 Cd 0.333 0.667 0.463
Cd4 Cd 0.333 0.667 0.870
Cd5 Cd 0.667 0.333 0.130
Cd6 Cd 0.667 0.333 0.537
# Energy above the lowest structure with this stoichiometry (meV per atom): 20
# Magnetic moment (μB per cell): 0.0
# Formation enthalpy at 0 K (meV/atom): -250
# Electronic total energy (eV per atom): -1.61

Record 8
# PBE-GGA Fe2TeI6, optimized geometry
data_Fe2TeI6
_chemical_formula_sum 'Fe2 Te1 I6'
_space_group_name_H-M_alt 'P 1'
_space_group_IT_number 1
_space_group_name_Hall 'P 1'
_cell_length_a 4.031
_cell_length_b 6.756
_cell_length_c 15.141
_cell_angle_alpha 93.08
_cell_angle_beta 97.19
_cell_angle_gamma 90.63
loop_
_atom_site_label
_atom_site_type_symbol
_atom_site_fract_x
_atom_site_fract_y
_atom_site_fract_z
Fe1 Fe 0.120 0.418 0.273
Fe2 Fe 0.880 0.582 0.727
Te1 Te 0.000 0.500 0.000
I1 I 0.048 0.186 0.128
I2 I 0.181 0.222 0.408
I3 I 0.375 0.330 0.726
I4 I 0.625 0.670 0.274
I5 I 0.819 0.778 0.592
I6 I 0.952 0.814 0.872
# Magnetic moment (μB per cell): 9.2
# Electronic total energy (eV per atom): -3.30